No. 1
KCoPt4: optimized geometry, PBE-GGA.

Lattice parameters (Å, degrees): 7.5911 7.5911 7.5911 90.00 90.00 90.00
With the nearest neighbours (Å) after each atom.
Space group F-43m (No. 216)
Inequivalent atoms, fractional coordinates:
K: 0.0000 0.0000 0.0000 (multiplicity 4)  12 Pt 3.15, 4 Co 3.29
Co: 0.2500 0.2500 0.2500 (multiplicity 4)  12 Pt 3.15, 4 K 3.29
Pt: 0.1248 0.1248 0.6248 (multiplicity 16)  6 Pt 2.68-2.69

=====

No. 2
KCo2Pt: optimized geometry, PBE-GGA.

Calculated values
E above lowest polymorph   0.0000 eV per atom

Lattice parameters (Å, degrees): 2.9153 2.9145 8.1578 90.00 90.08 90.00
With the nearest neighbours (Å) after each atom.
Space group Pm (No. 6)
Inequivalent atoms, fractional coordinates:
K: 0.0000 0.0000 0.0000 (multiplicity 1)  4 K 2.91-2.92
Co: 0.4984 0.5000 0.3368 (multiplicity 1)  4 Co 2.36
Co: 0.9990 0.0000 0.4769 (multiplicity 1)  4 Co 2.36
Pt: 0.4994 0.5000 0.6819 (multiplicity 1)  5 Co 2.65-2.81, 4 Pt 2.91-2.92

=====

No. 3
KCo2Pt: optimized geometry, PBE-GGA.

Calculated values
E above lowest polymorph   0.6285 eV per atom

Lattice parameters (Å, degrees): 4.1437 4.1437 7.8299 90.00 90.00 90.00
With the nearest neighbours (Å) after each atom.
Space group I-4m2 (No. 119)
Inequivalent atoms, fractional coordinates:
K: 0.0000 0.0000 0.0000 (multiplicity 2)  8 Co 2.85-2.93, 4 Pt 2.85
Co: 0.0000 0.0000 0.5000 (multiplicity 2)  4 Co 2.85, 4 Pt 2.85, 4 K 2.93
Co: 0.0000 0.5000 0.2500 (multiplicity 2)  4 K 2.85, 4 Co 2.85, 4 Pt 2.93
Pt: 0.0000 0.5000 0.7500 (multiplicity 2)  4 K 2.85, 8 Co 2.85-2.93

=====

no.,total moment (μB/f.u.),final energy (eV per atom),calculated formation energy (kJ/mol of formula units)
1,2.32,-5.161,135.1
2,3.63,-4.962,145.0
3,3.94,-4.333,387.6